(1)
# Tb4DyPu

Crystalline Tb4DyPu at its relaxed geometry (PBE, Alexandria via LeMat-Bulk).

Results
ΔH_f (0 K), eV per atom: 0.073
DOS(E_F), states/eV per atom: 2.5214
V, Å³/atom: 31.01

Structure (CIF):
```
data_Tb4DyPu
_cell_length_a 11.204
_cell_length_b 4.979
_cell_length_c 7.041
_cell_angle_alpha 90.00
_cell_angle_beta 108.64
_cell_angle_gamma 90.00
_symmetry_space_group_name_H-M 'C 1 2/m 1'
_symmetry_Int_Tables_number 12
loop_
_symmetry_equiv_pos_as_xyz
'x,y,z'
'-x,-y,-z'
'-x,y,-z'
'x,-y,z'
'x+1/2,y+1/2,z'
'-x+1/2,-y+1/2,-z'
'-x+1/2,y+1/2,-z'
'x+1/2,-y+1/2,z'
loop_
_atom_site_label
_atom_site_type_symbol
_atom_site_fract_x
_atom_site_fract_y
_atom_site_fract_z
Tb1 Tb 0.163 0.000 0.329
Tb2 Tb 0.167 0.000 0.837
Dy1 Dy 0.000 0.500 0.500
Pu1 Pu 0.000 0.500 0.000
```

(2)
# Pr2Sm5In

Crystalline Pr2Sm5In at its relaxed geometry (PBE, Alexandria via LeMat-Bulk).

Results
ΔH_f (0 K), eV per atom: -0.108
DOS(E_F), states/eV per atom: 1.2374
V, Å³/atom: 32.55

Structure (CIF):
```
data_Pr2Sm5In
_cell_length_a 5.002
_cell_length_b 5.002
_cell_length_c 20.815
_cell_angle_alpha 90.00
_cell_angle_beta 90.00
_cell_angle_gamma 90.00
_symmetry_space_group_name_H-M 'I 4/m m m'
_symmetry_Int_Tables_number 139
_symmetry_space_group_name_Hall '-I 4 2'
loop_
_atom_site_label
_atom_site_type_symbol
_atom_site_fract_x
_atom_site_fract_y
_atom_site_fract_z
Pr1 Pr 0.000 0.000 0.246
Sm1 Sm 0.000 0.000 0.000
Sm2 Sm 0.000 0.500 0.119
In1 In 0.000 0.000 0.500
```

(3)
# Y2In2Hg

Crystalline Y2In2Hg at its relaxed geometry (PBE, Alexandria via LeMat-Bulk).

Results
ΔE to the lowest computed polymorph, meV per atom: 0
ΔH_f (0 K), eV per atom: -0.458
DOS(E_F), states/eV per atom: 0.7266
V, Å³/atom: 25.58

Structure (CIF):
```
data_Y2In2Hg
_cell_length_a 3.483
_cell_length_b 4.737
_cell_length_c 15.508
_cell_angle_alpha 90.00
_cell_angle_beta 90.00
_cell_angle_gamma 90.00
_symmetry_space_group_name_H-M 'A m m 2'
_symmetry_Int_Tables_number 38
loop_
_symmetry_equiv_pos_as_xyz
'x,y,z'
'-x,-y,z'
'-x,y,z'
'x,-y,z'
'x,y+1/2,z+1/2'
'-x,-y+1/2,z+1/2'
'-x,y+1/2,z+1/2'
'x,-y+1/2,z+1/2'
loop_
_atom_site_label
_atom_site_type_symbol
_atom_site_fract_x
_atom_site_fract_y
_atom_site_fract_z
Y1 Y 0.000 0.000 0.000
Y2 Y 0.000 0.000 0.226
In1 In 0.500 0.000 0.614
In2 In 0.500 0.000 0.812
Hg1 Hg 0.500 0.000 0.417
```

(4)
# MgZrAg2Cl

Crystalline MgZrAg2Cl at its relaxed geometry (PBE, Alexandria via LeMat-Bulk).

Results
DOS(E_F), states/eV per atom: 0.8165
V, Å³/atom: 23.50
Raw formation energy, eV/atom: 0.39

Structure (CIF):
```
data_MgZrAg2Cl
_cell_length_a 5.075
_cell_length_b 5.075
_cell_length_c 4.563
_cell_angle_alpha 90.00
_cell_angle_beta 90.00
_cell_angle_gamma 90.00
_symmetry_space_group_name_H-M 'P 4/m m m'
_symmetry_Int_Tables_number 123
_symmetry_space_group_name_Hall '-P 4 2'
loop_
_atom_site_label
_atom_site_type_symbol
_atom_site_fract_x
_atom_site_fract_y
_atom_site_fract_z
Mg1 Mg 0.000 0.000 0.000
Zr1 Zr 0.500 0.500 0.500
Ag1 Ag 0.000 0.500 0.000
Cl1 Cl 0.000 0.000 0.500
```

(5)
# La6Cd2CoH

Crystalline La6Cd2CoH at its relaxed geometry (PBE, Alexandria via LeMat-Bulk).

Results
DOS(E_F), states/eV per atom: 1.1853
V, Å³/atom: 29.29

Structure (CIF):
```
data_La6Cd2CoH
_cell_length_a 7.329
_cell_length_b 7.332
_cell_length_c 7.468
_cell_angle_alpha 119.29
_cell_angle_beta 118.34
_cell_angle_gamma 90.32
_symmetry_space_group_name_H-M 'P -1'
_symmetry_Int_Tables_number 2
loop_
_symmetry_equiv_pos_as_xyz
'x,y,z'
'-x,-y,-z'
loop_
_atom_site_label
_atom_site_type_symbol
_atom_site_fract_x
_atom_site_fract_y
_atom_site_fract_z
La1 La 0.187 0.299 0.489
La2 La 0.257 0.266 0.004
La3 La 0.309 0.816 0.513
Cd1 Cd 0.245 0.753 0.999
Co1 Co 0.500 0.500 0.500
H1 H 0.000 0.000 0.500
```

(6)
# MgPCl2F

Crystalline MgPCl2F at its relaxed geometry (PBE, Alexandria via LeMat-Bulk).

Results
ΔE to the lowest computed polymorph, meV per atom: 70
DOS(E_F), states/eV per atom: 0.7722
V, Å³/atom: 23.51
Raw formation energy, eV/atom: -0.23

Structure (CIF):
```
data_MgPCl2F
_cell_length_a 4.646
_cell_length_b 4.646
_cell_length_c 5.445
_cell_angle_alpha 90.00
_cell_angle_beta 90.00
_cell_angle_gamma 90.00
_symmetry_space_group_name_H-M 'P 4/m m m'
_symmetry_Int_Tables_number 123
_symmetry_space_group_name_Hall '-P 4 2'
loop_
_atom_site_label
_atom_site_type_symbol
_atom_site_fract_x
_atom_site_fract_y
_atom_site_fract_z
Mg1 Mg 0.000 0.000 0.000
P1 P 0.000 0.000 0.500
Cl1 Cl 0.000 0.500 0.000
F1 F 0.500 0.500 0.500
```

Number 1: energy -6.1696 eV/atom. Number 2: energy -4.5946 eV/atom. Number 3: energy -4.1993 eV/atom. Number 4: energy -3.1472 eV/atom. Number 5: energy -4.3997 eV/atom. Number 6: energy -2.7426 eV/atom.